Record 1
NaZnAu3 | PBE-GGA | optimized geometry

Output
As for the space group: Cmcm, No. 63. Its energy above the most stable polymorph in this dataset is 0.000 eV/atom.

Cell: 5.401 5.623 7.107 Å, 113.30 90.00 90.00°
Positions (direct):
Na 0.250 0.400 0.800
Na 0.750 0.600 0.200
Zn 0.000 0.000 0.000
Zn 0.500 0.000 0.000
Au 0.250 0.825 0.650
Au 0.750 0.175 0.350
Au 0.250 0.393 0.280
Au 0.750 0.607 0.720
Au 0.250 0.887 0.280
Au 0.750 0.113 0.720

Record 2
NaZn2Au5 | PBE-GGA | optimized geometry

Output
As for the space group: Immm, No. 71.

Cell: 3.931 6.725 6.725 Å, 69.94 73.01 73.01°
Positions (direct):
Na 0.000 0.000 0.000
Zn 0.744 0.756 0.756
Zn 0.256 0.244 0.244
Au 0.000 0.500 0.500
Au 0.643 0.556 0.157
Au 0.357 0.444 0.843
Au 0.357 0.843 0.444
Au 0.643 0.157 0.556

Record 3
Na3ZnAu8 | PBE-GGA | optimized geometry

Output
As for the space group: R3m, No. 160.

Cell: 5.565 5.565 9.750 Å, 73.42 73.42 60.00°
Positions (direct):
Na 0.625 0.625 0.126
Na 0.003 0.003 0.991
Na 0.497 0.497 0.510
Zn 0.136 0.136 0.593
Au 0.561 0.061 0.816
Au 0.061 0.561 0.316
Au 0.561 0.561 0.816
Au 0.061 0.061 0.316
Au 0.811 0.811 0.567
Au 0.312 0.312 0.065
Au 0.061 0.561 0.816
Au 0.561 0.061 0.316

Record 4
NaZn4Au | PBE-GGA | optimized geometry

Output
As for the space group: F-43m, No. 216.

Cell: 5.174 5.174 5.174 Å, 60.00 60.00 60.00°
Positions (direct):
Na 0.250 0.250 0.250
Zn 0.626 0.626 0.123
Zn 0.626 0.123 0.626
Zn 0.626 0.626 0.626
Zn 0.123 0.626 0.626
Au 0.000 0.000 0.000

Record 5
Na2Zn2Au3 | PBE-GGA | optimized geometry

Output
As for the space group: C2/m, No. 12. Its energy above the most stable polymorph in this dataset is 0.000 eV/atom.

Cell: 4.152 5.742 7.365 Å, 116.60 90.00 111.20°
Positions (direct):
Na 0.854 0.707 0.226
Na 0.146 0.293 0.774
Zn 0.859 0.719 0.766
Zn 0.141 0.281 0.234
Au 0.500 0.000 0.000
Au 0.606 0.212 0.439
Au 0.394 0.788 0.561

Record 6
NaZnAu | PBE-GGA | optimized geometry

Output
As for the space group: Cmcm, No. 63. Its energy above the most stable polymorph in this dataset is 0.163 eV/atom.

Cell: 5.354 2.853 8.223 Å, 80.01 90.00 90.00°
Positions (direct):
Na 0.750 0.673 0.654
Na 0.250 0.327 0.346
Zn 0.500 0.000 0.000
Zn 0.000 0.000 0.000
Au 0.750 0.858 0.285
Au 0.250 0.142 0.715

Record 7
Na3Zn2Au2 | PBE-GGA | optimized geometry

Output
As for the space group: C2/m, No. 12.

Cell: 4.664 4.664 8.420 Å, 89.24 106.27 121.21°
Positions (direct):
Na 0.000 0.000 0.000
Na 0.733 0.870 0.603
Na 0.267 0.130 0.397
Zn 0.451 0.721 0.173
Zn 0.549 0.279 0.827
Au 0.202 0.602 0.803
Au 0.798 0.398 0.197

Record 8
Na2Zn5Au3 | PBE-GGA | optimized geometry

Output
As for the space group: Ibam, No. 72.

Cell: 5.821 8.775 8.775 Å, 85.26 70.63 70.63°
Positions (direct):
Na 0.125 0.622 0.129
Na 0.625 0.129 0.622
Na 0.875 0.378 0.871
Na 0.375 0.871 0.378
Zn 0.376 0.269 0.979
Zn 0.876 0.979 0.269
Zn 0.624 0.731 0.021
Zn 0.124 0.021 0.731
Zn 0.494 0.756 0.756
Zn 0.506 0.244 0.244
Zn 0.750 0.500 0.500
Zn 0.250 0.500 0.500
Zn 0.006 0.244 0.244
Zn 0.994 0.756 0.756
Au 0.373 0.487 0.768
Au 0.873 0.768 0.487
Au 0.627 0.513 0.232
Au 0.127 0.232 0.513
Au 0.250 0.000 0.000
Au 0.750 0.000 0.000

Record 9
Na3Zn3Au2 | PBE-GGA | optimized geometry

Output
As for the space group: Pnma, No. 62. Its energy above the most stable polymorph in this dataset is 0.003 eV/atom.

Cell: 5.776 8.096 15.617 Å, 90.00 90.00 90.00°
Positions (direct):
Na 0.109 0.469 0.392
Na 0.609 0.031 0.608
Na 0.891 0.531 0.892
Na 0.391 0.969 0.108
Na 0.891 0.531 0.608
Na 0.391 0.969 0.392
Na 0.109 0.469 0.108
Na 0.609 0.031 0.892
Na 0.618 0.321 0.250
Na 0.118 0.179 0.750
Na 0.382 0.679 0.750
Na 0.882 0.821 0.250
Zn 0.101 0.163 0.250
Zn 0.601 0.337 0.750
Zn 0.899 0.837 0.750
Zn 0.399 0.663 0.250
Zn 0.600 0.325 0.461
Zn 0.100 0.175 0.539
Zn 0.400 0.675 0.961
Zn 0.900 0.825 0.039
Zn 0.400 0.675 0.539
Zn 0.900 0.825 0.461
Zn 0.600 0.325 0.039
Zn 0.100 0.175 0.961
Au 0.890 0.121 0.393
Au 0.390 0.379 0.607
Au 0.110 0.879 0.893
Au 0.610 0.621 0.107
Au 0.110 0.879 0.607
Au 0.610 0.621 0.393
Au 0.890 0.121 0.107
Au 0.390 0.379 0.893

Record 10
Na2Zn3Au | PBE-GGA | optimized geometry

Output
As for the space group: C2/m, No. 12.

Cell: 5.443 5.443 5.519 Å, 89.07 120.21 120.41°
Positions (direct):
Na 0.746 0.373 0.119
Na 0.254 0.627 0.881
Zn 0.500 0.500 0.500
Zn 0.000 0.000 0.500
Zn 0.500 0.000 0.500
Au 0.000 0.000 0.000

Record 11
Na3Zn5Au2 | PBE-GGA | optimized geometry

Output
As for the space group: Ibam, No. 72.

Cell: 5.797 8.916 8.916 Å, 85.36 71.03 71.03°
Positions (direct):
Na 0.250 0.000 0.000
Na 0.750 0.000 0.000
Na 0.387 0.358 0.869
Na 0.613 0.642 0.131
Na 0.887 0.869 0.358
Na 0.113 0.131 0.642
Zn 0.250 0.500 0.500
Zn 0.750 0.500 0.500
Zn 0.514 0.736 0.736
Zn 0.986 0.264 0.264
Zn 0.486 0.264 0.264
Zn 0.014 0.736 0.736
Zn 0.120 0.521 0.239
Zn 0.880 0.479 0.761
Zn 0.620 0.239 0.521
Zn 0.380 0.761 0.479
Au 0.157 0.692 0.995
Au 0.843 0.308 0.005
Au 0.657 0.995 0.692
Au 0.343 0.005 0.308

Record 12
Na2Zn2Au | PBE-GGA | optimized geometry

Output
As for the space group: P4/mbm, No. 127. Its energy above the most stable polymorph in this dataset is 0.000 eV/atom.

Cell: 6.745 6.745 4.878 Å, 90.00 90.00 90.00°
Positions (direct):
Na 0.180 0.680 0.500
Na 0.680 0.820 0.500
Na 0.820 0.320 0.500
Na 0.320 0.180 0.500
Zn 0.366 0.866 0.000
Zn 0.866 0.634 0.000
Zn 0.634 0.134 0.000
Zn 0.134 0.366 0.000
Au 0.000 0.000 0.000
Au 0.500 0.500 0.000

Computed VASP energy, in the same sequence as the records: -2.73, -2.69, -2.88, -1.74, -2.41, -2.08, -2.09, -2.08, -1.99, -1.80, -1.83, -1.83 eV per atom.
Computed formation energy from the elements, in the same sequence as the records: -0.24, -0.16, -0.26, -0.13, -0.26, -0.12, -0.22, -0.20, -0.20, -0.17, -0.14, -0.13 eV/atom.
Computed N(E_F), in the same sequence as the records: 2.891, 3.101, 2.339, 1.651, 1.795, 1.485, 2.670, 4.089, 13.094, 3.026, 3.615, 3.394 states/eV/cell.